LiYTe2 | GGA-PBE | relaxed

## Properties
* spin magnetization: 0.000 μB/f.u.
* DOS at the Fermi energy: 0.35 states/eV per atom
* symmetry: No. 123
* total energy: -4.626 eV per atom

Cell lengths 3.8119, 5.2667, 5.2667 Å; angles 90.00, 90.00, 90.00 degrees
Closest atoms and distances in Å follow each position.
Atoms (fractional coordinates):
Li (0.5000, 0.0000, 0.5000)  8 Te 3.25
Y (0.5000, 0.5000, 0.0000)  8 Te 3.25
Te (0.0000, 0.5000, 0.5000)  4 Li 3.25, 4 Y 3.25
Te (0.0000, 0.0000, 0.0000)  4 Li 3.25, 4 Y 3.25